(1)
First-principles (PBE) data for a geometry-optimized SrCI2F structure, as listed in Alexandria via LeMat-Bulk.

Geometry as POSCAR:
```
SrCI2F
1.0
4.7914 0.0000 0.0000
0.0000 4.7914 0.0000
0.0000 0.0000 5.5369
Sr C I F
1 1 2 1
Cartesian
0.0000 0.0000 0.0000
0.0000 0.0000 2.7685
0.0000 2.3957 2.7685
2.3957 0.0000 2.7685
2.3957 2.3957 0.0000
```

Properties
The space group is No. 123. Its formation energy without anion corrections is -83 kJ/mol of formula units. As for the total energy: -3.348 eV/atom.



(2)
First-principles (PBE) data for a geometry-optimized InC2F structure, as listed in Alexandria via LeMat-Bulk.

Geometry as POSCAR:
```
InC2F
1.0
0.0000 2.8452 2.8452
2.8452 0.0000 2.8452
2.8452 2.8452 0.0000
In C F
1 2 1
Cartesian
0.0000 0.0000 0.0000
1.4226 1.4226 1.4226
4.2678 4.2678 4.2678
2.8452 2.8452 2.8452
```

Properties
The space group is No. 225. Its formation energy without anion corrections is 765 kJ/mol of formula units. As for the energy above the lowest structure with this stoichiometry: 4.13 eV per formula unit. As for the total energy: -3.781 eV/atom.



(3)
First-principles (PBE) data for a geometry-optimized InC2F structure, as listed in Alexandria via LeMat-Bulk.

Geometry as POSCAR:
```
InC2F
1.0
-1.5226 1.5226 11.7260
1.5226 -1.5226 11.7260
1.5226 1.5226 -11.7260
In C F
2 4 2
Cartesian
1.5226 0.7613 2.9315
0.0000 0.7613 8.7945
0.0000 0.0000 0.0000
0.7613 0.7613 -5.8630
0.7613 -0.7613 5.8630
0.0000 1.5226 0.0000
1.5226 -0.7613 8.7945
0.0000 2.2839 2.9315
```

Properties
The space group is No. 141. Its formation energy without anion corrections is 367 kJ/mol of formula units. As for the energy above the lowest structure with this stoichiometry: 0.00 eV per formula unit. As for the total energy: -4.814 eV/atom.



(4)
First-principles (PBE) data for a geometry-optimized InCF3 structure, as listed in Alexandria via LeMat-Bulk.

Geometry as POSCAR:
```
InCF3
1.0
4.0340 0.0000 0.0000
0.0000 4.0340 0.0000
0.0000 0.0000 4.0340
In C F
1 1 3
Cartesian
0.0000 0.0000 0.0000
2.0170 2.0170 2.0170
0.0000 2.0170 2.0170
2.0170 0.0000 2.0170
2.0170 2.0170 0.0000
```

Properties
The space group is No. 221. Its formation energy without anion corrections is -125 kJ/mol of formula units. As for the energy above the lowest structure with this stoichiometry: 0.80 eV per formula unit. As for the total energy: -3.773 eV/atom.



(5)
First-principles (PBE) data for a geometry-optimized InCF3 structure, as listed in Alexandria via LeMat-Bulk.

Geometry as POSCAR:
```
InCF3
1.0
4.2327 0.0000 0.0000
0.0000 4.2327 0.0000
0.0000 0.0000 4.2327
In C F
1 1 3
Cartesian
0.0000 0.0000 0.0000
2.1163 2.1163 2.1163
0.0000 0.0000 2.1163
0.0000 2.1163 0.0000
2.1163 0.0000 0.0000
```

Properties
The space group is No. 221. Its formation energy without anion corrections is -202 kJ/mol of formula units. As for the energy above the lowest structure with this stoichiometry: 0.00 eV per formula unit. As for the total energy: -3.934 eV/atom.